Record 1
Computed, not measured: crystalline VCrFe2H at its relaxed geometry at the GGA-PBE level of DFT.

```
VCrFe2H
1.0
-3.091 -1.553 -0.953
-0.505 -1.073 3.386
-1.808 3.151 0.729
Fe V H Cr
2 1 1 1
direct
0.500 0.000 0.000
0.000 0.500 0.000
0.500 0.500 0.500
0.000 0.000 0.000
0.000 0.000 0.500
```

Calculated values
Relative energy among the computed polymorphs: 0.000 eV per atom
N(E_F): 1.10 states/eV per atom
Electronic total energy: -7.777 eV/atom



Record 2
Computed, not measured: crystalline VCrFe2H at its relaxed geometry at the GGA-PBE level of DFT.

```
VCrFe2H
1.0
3.573 0.000 0.000
0.000 3.573 0.000
0.000 0.000 3.744
Fe Cr H V
2 1 1 1
direct
0.500 0.000 0.000
0.000 0.500 0.000
0.500 0.500 0.500
0.000 0.000 0.000
0.000 0.000 0.500
```

Calculated values
Relative energy among the computed polymorphs: 0.003 eV per atom
N(E_F): 1.04 states/eV per atom
Electronic total energy: -7.774 eV/atom



Record 3
Computed, not measured: crystalline Cr2FeHW at its relaxed geometry at the GGA-PBE level of DFT.

```
Cr2FeHW
1.0
-0.260 -3.750 0.340
-0.333 -0.317 -3.746
3.613 -0.278 -0.298
Cr H W Fe
2 1 1 1
direct
0.500 0.000 0.000
0.000 0.500 0.000
0.000 0.000 0.000
0.500 0.500 0.500
0.000 0.000 0.500
```

Calculated values
N(E_F): 1.18 states/eV per atom
Electronic total energy: -8.649 eV/atom



Record 4
Computed, not measured: crystalline ZnCrFe2H at its relaxed geometry at the GGA-PBE level of DFT.

```
ZnCrFe2H
1.0
-2.082 2.747 1.190
-2.899 -1.489 -1.635
-0.776 -1.957 3.159
Fe Cr H Zn
2 1 1 1
direct
0.500 0.000 0.000
0.000 0.500 0.000
0.000 0.000 0.500
0.000 0.000 0.000
0.500 0.500 0.500
```

Calculated values
N(E_F): 0.92 states/eV per atom
Electronic total energy: -6.111 eV/atom



The highest electronic total energy belongs to which entry? ZnCrFe2H



What is the formula in the second record? VCrFe2H